Record 1
Density functional theory data (PBE) for NaPm3In4 after structural relaxation.

Results
ΔH_f (0 K): -0.38 eV per atom

Lattice parameters (Å, degrees): 3.7371 3.7371 15.9866 90.00 90.00 90.00
With the nearest neighbours (Å) after each atom.
Fractional positions:
1 Na 0.0000 0.0000 0.0000  8 In 3.23
2 Pm 0.0000 0.0000 0.2407  8 In 3.31-3.36
3 Pm 0.0000 0.0000 0.5000  8 In 3.35, 4 Pm 3.74
4 Pm 0.0000 0.0000 0.7593  8 In 3.31-3.36
5 In 0.5000 0.5000 0.1159  4 Na 3.23, 4 Pm 3.31
6 In 0.5000 0.5000 0.3709  8 Pm 3.35-3.36, 4 In 3.74
7 In 0.5000 0.5000 0.6291  8 Pm 3.35-3.36, 4 In 3.74
8 In 0.5000 0.5000 0.8841  4 Na 3.23, 4 Pm 3.31


Record 2
Density functional theory data (PBE) for CrMoPt after structural relaxation.

Results
ΔH_f (0 K): 0.07 eV per atom
E above lowest polymorph: 111 meV/atom

Lattice parameters (Å, degrees): 4.9151 4.9151 4.9151 141.95 141.95 54.90
With the nearest neighbours (Å) after each atom.
Fractional positions:
1 Cr 0.0000 0.0000 0.0000  4 Mo 2.60, 5 Pt 2.72-2.85
2 Mo 0.3547 0.3547 0.0000  4 Cr 2.60, 5 Pt 2.76-2.78
3 Pt 0.6734 0.6734 0.0000  5 Cr 2.72-2.85, 5 Mo 2.76-2.78


Record 3
Density functional theory data (PBE) for CsCd4Sb2Pb after structural relaxation.

Results
Formation energy from raw total energies: -1.07 eV/f.u.

Lattice parameters (Å, degrees): 4.7471 4.7471 11.7226 90.00 90.00 90.00
With the nearest neighbours (Å) after each atom.
Fractional positions:
1 Cs 0.0000 0.0000 0.0000  8 Sb 3.99
2 Cd 0.0000 0.5000 0.3299  2 Sb 2.93, 2 Pb 3.10
3 Cd 0.0000 0.5000 0.6701  2 Sb 2.93, 2 Pb 3.10
4 Cd 0.5000 0.0000 0.3299  2 Sb 2.93, 2 Pb 3.10
5 Cd 0.5000 0.0000 0.6701  2 Sb 2.93, 2 Pb 3.10
6 Sb 0.5000 0.5000 0.1841  4 Cd 2.93
7 Sb 0.5000 0.5000 0.8159  4 Cd 2.93
8 Pb 0.0000 0.0000 0.5000  8 Cd 3.10